1.
This record from the Alexandria database describes Cs2HoCl5 at its PBEsol-relaxed geometry. The functional is SCAN.

Output
calculated density	3.88	g/cm³
uncorrected energy	-23.021	eV/atom
total magnetization	0.00	Bohr magnetons per cell

a b c (Å): 7.3453 9.4085 15.0642
angles (deg): 90.00 90.00 90.00
Element x y z (fractional)
Cs (0.7500, 0.8330, 0.5842)
Cs (0.2500, 0.1670, 0.4158)
Cs (0.2500, 0.6670, 0.0842)
Cs (0.7500, 0.3330, 0.9158)
Cs (0.7500, 0.5277, 0.2905)
Cs (0.2500, 0.4723, 0.7095)
Cs (0.2500, 0.9723, 0.7905)
Cs (0.7500, 0.0277, 0.2095)
Ho (0.7500, 0.8186, 0.9343)
Ho (0.2500, 0.1814, 0.0657)
Ho (0.2500, 0.6814, 0.4343)
Ho (0.7500, 0.3186, 0.5657)
Cl (0.7500, 0.9826, 0.7984)
Cl (0.2500, 0.0174, 0.2016)
Cl (0.2500, 0.5174, 0.2984)
Cl (0.7500, 0.4826, 0.7016)
Cl (0.0077, 0.6617, 0.8803)
Cl (0.9923, 0.3383, 0.1197)
Cl (0.9923, 0.8383, 0.3803)
Cl (0.5077, 0.3383, 0.1197)
Cl (0.0077, 0.1617, 0.6197)
Cl (0.4923, 0.6617, 0.8803)
Cl (0.4923, 0.1617, 0.6197)
Cl (0.5077, 0.8383, 0.3803)
Cl (0.7500, 0.7092, 0.0928)
Cl (0.2500, 0.2908, 0.9072)
Cl (0.2500, 0.7908, 0.5928)
Cl (0.7500, 0.2092, 0.4072)
Cl (0.5000, 0.0000, 0.0000)
Cl (0.5000, 0.5000, 0.5000)
Cl (0.0000, 0.0000, 0.0000)
Cl (0.0000, 0.5000, 0.5000)



2.
This record from the Alexandria database describes La2Zn2Sb at its PBEsol-relaxed geometry. The functional is SCAN.

Output
calculated density	6.66	g/cm³
uncorrected energy	-30.484	eV/atom
total magnetization	0.00	Bohr magnetons per cell

a b c (Å): 5.6393 5.6393 5.6393
angles (deg): 95.66 116.79 116.79
Element x y z (fractional)
Sb (0.0000, 0.0000, 0.0000)
Zn (0.0000, 0.6483, 0.6483)
Zn (0.0000, 0.3517, 0.3517)
La (0.5000, 0.7500, 0.2500)
La (0.5000, 0.2500, 0.7500)



3.
This record from the Alexandria database describes PPbCl2 at its PBEsol-relaxed geometry. The functional is SCAN.

Output
calculated density	6.03	g/cm³
uncorrected energy	-25.603	eV/atom
total magnetization	0.00	Bohr magnetons per cell

a b c (Å): 3.3016 5.6237 5.6237
angles (deg): 60.05 72.93 72.93
Element x y z (fractional)
Cl (0.2212, 0.7788, 0.7788)
Cl (0.7788, 0.2212, 0.2212)
P (0.5000, 0.0000, 0.0000)
Pb (0.0000, 0.5000, 0.5000)



4.
This record from the Alexandria database describes ReNi6Au at its PBEsol-relaxed geometry. The functional is SCAN.

Output
energy relative to the elements	8.7	kJ per mole of atoms
calculated density	13.08	g/cm³
total magnetization	0.00	Bohr magnetons per cell

a b c (Å): 6.2284 6.2284 10.1986
angles (deg): 90.00 90.00 109.27
Element x y z (fractional)
Au (0.2549, 0.7451, 0.0000)
Au (0.7451, 0.2549, 0.0000)
Au (0.5000, 0.5000, 0.7491)
Au (0.5000, 0.5000, 0.2509)
Ni (0.2453, 0.7547, 0.7417)
Ni (0.8812, 0.6358, 0.8701)
Ni (0.1188, 0.3642, 0.8701)
Ni (0.7547, 0.2453, 0.7417)
Ni (0.3642, 0.1188, 0.8701)
Ni (0.6358, 0.8812, 0.8701)
Ni (0.5000, 0.5000, 0.5000)
Ni (0.1161, 0.3707, 0.6202)
Ni (0.3707, 0.1161, 0.6202)
Ni (0.2453, 0.7547, 0.2583)
Ni (0.8839, 0.6293, 0.3798)
Ni (0.1161, 0.3707, 0.3798)
Ni (0.7547, 0.2453, 0.2583)
Ni (0.3707, 0.1161, 0.3798)
Ni (0.6293, 0.8839, 0.3798)
Ni (0.5000, 0.5000, 0.0000)
Ni (0.1188, 0.3642, 0.1299)
Ni (0.3642, 0.1188, 0.1299)
Ni (0.0000, 0.0000, 0.5000)
Ni (0.6293, 0.8839, 0.6202)
Ni (0.8839, 0.6293, 0.6202)
Ni (0.0000, 0.0000, 0.0000)
Ni (0.6358, 0.8812, 0.1299)
Ni (0.8812, 0.6358, 0.1299)
Re (0.2493, 0.7507, 0.5000)
Re (0.7507, 0.2493, 0.5000)
Re (0.0000, 0.0000, 0.7564)
Re (0.0000, 0.0000, 0.2436)



5.
This record from the Alexandria database describes TlPdF3 at its PBEsol-relaxed geometry. The functional is SCAN.

Output
calculated density	7.99	g/cm³
uncorrected energy	-24.700	eV/atom
total magnetization	0.51	Bohr magnetons per cell

a b c (Å): 4.2446 4.2446 4.2446
angles (deg): 90.00 90.00 90.00
Last column: magnetic moment on the atom in μB.
Element x y z (fractional)
Tl (0.5000, 0.5000, 0.5000)  0.00
Pd (0.0000, 0.0000, 0.0000)  0.43
F (0.0000, 0.5000, 0.0000)  0.02
F (0.0000, 0.0000, 0.5000)  0.02
F (0.5000, 0.0000, 0.0000)  0.02



6.
This record from the Alexandria database describes SrNi2BiPd at its PBEsol-relaxed geometry. The functional is SCAN.

Output
energy relative to the elements	49.8	kJ per mole of atoms
calculated density	7.40	g/cm³
total magnetization	2.59	Bohr magnetons per cell

a b c (Å): 4.7194 4.7194 5.2418
angles (deg): 90.00 90.00 90.00
Last column: magnetic moment on the atom in μB.
Element x y z (fractional)
Sr (0.0000, 0.0000, 0.5000)  -0.01
Bi (0.5000, 0.5000, 0.5000)  0.08
Pd (0.0000, 0.0000, 0.0000)  0.11
Ni (0.0000, 0.5000, 0.0000)  1.22
Ni (0.5000, 0.0000, 0.0000)  1.22



7.
This record from the Alexandria database describes MgMnAg at its PBEsol-relaxed geometry. The functional is SCAN.

Output
energy relative to the elements	11.4	kJ per mole of atoms
calculated density	5.11	g/cm³
total magnetization	4.53	Bohr magnetons per cell

a b c (Å): 4.4129 4.4129 4.4129
angles (deg): 60.00 60.00 60.00
Last column: magnetic moment on the atom in μB.
Element x y z (fractional)
Ag (0.7500, 0.7500, 0.7500)  0.02
Mg (0.0000, 0.0000, 0.0000)  -0.02
Mn (0.5000, 0.5000, 0.5000)  4.32



8.
This record from the Alexandria database describes Ca3TcSn at its PBEsol-relaxed geometry. The functional is SCAN.

Output
energy relative to the elements	65.9	kJ per mole of atoms
calculated density	2.89	g/cm³
total magnetization	3.13	Bohr magnetons per cell

a b c (Å): 5.7828 5.7828 5.7828
angles (deg): 90.00 90.00 90.00
Last column: magnetic moment on the atom in μB.
Element x y z (fractional)
Ca (0.0000, 0.5000, 0.0000)  -0.05
Ca (0.0000, 0.0000, 0.5000)  -0.05
Ca (0.5000, 0.0000, 0.0000)  -0.05
Sn (0.0000, 0.0000, 0.0000)  0.01
Tc (0.5000, 0.5000, 0.5000)  3.69



9.
This record from the Alexandria database describes TlInAg2 at its PBEsol-relaxed geometry. The functional is SCAN.

Output
energy relative to the elements	13.1	kJ per mole of atoms
calculated density	10.86	g/cm³
total magnetization	0.00	Bohr magnetons per cell

a b c (Å): 4.4590 4.4590 5.1834
angles (deg): 115.48 115.48 90.00
Element x y z (fractional)
Tl (0.0000, 0.0000, 0.0000)
Ag (0.7500, 0.2500, 0.5000)
Ag (0.2500, 0.7500, 0.5000)
In (0.5000, 0.5000, 0.0000)



10.
This record from the Alexandria database describes Cu12Sb4S13 at its PBEsol-relaxed geometry. The functional is SCAN.

Output
calculated density	5.27	g/cm³
uncorrected energy	-16.019	eV/atom
total magnetization	0.00	Bohr magnetons per cell

a b c (Å): 8.8049 8.8049 8.8049
angles (deg): 109.47 109.47 109.47
Element x y z (fractional)
Cu (0.2222, 0.2222, 0.0000)
Cu (0.0000, 0.2222, 0.2222)
Cu (0.2500, 0.7500, 0.5000)
Cu (0.7778, 0.0000, 0.7778)
Cu (0.0000, 0.7778, 0.7778)
Cu (0.7778, 0.7778, 0.0000)
Cu (0.2222, 0.0000, 0.2222)
Cu (0.5000, 0.7500, 0.2500)
Cu (0.2500, 0.5000, 0.7500)
Cu (0.7500, 0.5000, 0.2500)
Cu (0.5000, 0.2500, 0.7500)
Cu (0.7500, 0.2500, 0.5000)
Sb (0.0000, 0.0000, 0.4474)
Sb (0.0000, 0.4474, 0.0000)
Sb (0.5526, 0.5526, 0.5526)
Sb (0.4474, 0.0000, 0.0000)
S (0.4821, 0.2329, 0.4821)
S (0.7508, 0.0000, 0.5179)
S (0.4821, 0.4821, 0.2329)
S (0.7508, 0.5179, 0.0000)
S (0.0000, 0.7508, 0.5179)
S (0.2329, 0.4821, 0.4821)
S (0.5179, 0.7508, 0.0000)
S (0.7671, 0.2492, 0.2492)
S (0.5179, 0.0000, 0.7508)
S (0.2492, 0.2492, 0.7671)
S (0.2492, 0.7671, 0.2492)
S (0.0000, 0.5179, 0.7508)
S (0.0000, 0.0000, 0.0000)



11.
This record from the Alexandria database describes SiSb2PRu at its PBEsol-relaxed geometry. The functional is SCAN.

Output
calculated density	6.24	g/cm³
uncorrected energy	-24.739	eV/atom
total magnetization	1.96	Bohr magnetons per cell

a b c (Å): 4.2399 5.0349 5.0349
angles (deg): 90.00 90.00 90.00
Last column: magnetic moment on the atom in μB.
Element x y z (fractional)
Sb (0.0000, 0.0000, 0.5000)  -0.01
Sb (0.0000, 0.5000, 0.0000)  -0.01
Si (0.0000, 0.0000, 0.0000)  0.00
P (0.5000, 0.0000, 0.0000)  -0.02
Ru (0.5000, 0.5000, 0.5000)  1.88



12.
This record from the Alexandria database describes BaMgAl2 at its PBEsol-relaxed geometry. The functional is SCAN.

Output
energy relative to the elements	20.1	kJ per mole of atoms
calculated density	3.40	g/cm³
total magnetization	0.00	Bohr magnetons per cell

a b c (Å): 4.7228 4.7201 4.7201
angles (deg): 90.00 90.00 90.00
Element x y z (fractional)
Mg (0.5000, 0.0000, 0.0000)
Ba (0.5000, 0.5000, 0.5000)
Al (0.0000, 0.0000, 0.5000)
Al (0.0000, 0.5000, 0.0000)